[1]
Compound: CaIN
Source: the Alexandria database
Functional: GGA-PBE
Structure: optimized geometry

## Properties
- DFT total energy (eV per atom) = -4.81
- SG = P-1, No. 2
- total magnetization (μB per atom) = 0.000

```
data_CaIN
_space_group_name_H-M_alt 'P 1'
_space_group_IT_number 1
_space_group_name_Hall 'P 1'
_cell_length_a 6.421
_cell_length_b 5.273
_cell_length_c 8.094
_cell_angle_alpha 108.31
_cell_angle_beta 67.08
_cell_angle_gamma 88.84
loop_
_atom_site_label
_atom_site_type_symbol
_atom_site_fract_x
_atom_site_fract_y
_atom_site_fract_z
_atom_site_occupancy
Ca1 Ca 0.344 0.156 0.311 1
Ca2 Ca 0.656 0.844 0.689 1
I1 I 0.209 0.791 0.582 1
I2 I 0.791 0.209 0.418 1
N1 N 0.449 0.102 0.000 1
N2 N 0.551 0.898 0.000 1
```

[2]
Compound: Ca2I3N2
Source: the Alexandria database
Functional: GGA-PBE
Structure: optimized geometry

## Properties
- DFT total energy (eV per atom) = -3.91
- SG = P-1, No. 2
- total magnetization (μB per atom) = 0.403

```
data_Ca2I3N2
_space_group_name_H-M_alt 'P 1'
_space_group_IT_number 1
_space_group_name_Hall 'P 1'
_cell_length_a 6.849
_cell_length_b 10.207
_cell_length_c 10.209
_cell_angle_alpha 24.02
_cell_angle_beta 46.17
_cell_angle_gamma 55.84
loop_
_atom_site_label
_atom_site_type_symbol
_atom_site_fract_x
_atom_site_fract_y
_atom_site_fract_z
_atom_site_occupancy
Ca1 Ca 0.142 0.723 0.079 1
Ca2 Ca 0.858 0.277 0.921 1
N1 N 0.121 0.843 0.219 1
N2 N 0.879 0.157 0.781 1
I1 I 0.500 0.000 0.000 1
I2 I 0.366 0.628 0.770 1
I3 I 0.634 0.372 0.230 1
```

[3]
Compound: CaI2N2
Source: the Alexandria database
Functional: GGA-PBE
Structure: optimized geometry

## Properties
- DFT total energy (eV per atom) = -3.23
- SG = P4/mmm, No. 123
- total magnetization (μB per atom) = 0.000

```
data_CaI2N2
_space_group_name_H-M_alt 'P 1'
_space_group_IT_number 1
_space_group_name_Hall 'P 1'
_cell_length_a 4.271
_cell_length_b 4.271
_cell_length_c 6.880
_cell_angle_alpha 90.00
_cell_angle_beta 90.00
_cell_angle_gamma 90.00
loop_
_atom_site_label
_atom_site_type_symbol
_atom_site_fract_x
_atom_site_fract_y
_atom_site_fract_z
_atom_site_occupancy
I1 I 0.000 0.000 0.500 1
I2 I 0.000 0.000 0.000 1
Ca1 Ca 0.500 0.500 0.500 1
N1 N 0.000 0.500 0.000 1
N2 N 0.500 0.000 0.000 1
```

[4]
Compound: Ca12I3N5
Source: the Alexandria database
Functional: GGA-PBE
Structure: optimized geometry

## Properties
- DFT total energy (eV per atom) = -4.18
- SG = Ia-3d, No. 230
- total magnetization (μB per atom) = 0.070

```
data_Ca12I3N5
_space_group_name_H-M_alt 'P 1'
_space_group_IT_number 1
_space_group_name_Hall 'P 1'
_cell_length_a 14.209
_cell_length_b 14.209
_cell_length_c 14.209
_cell_angle_alpha 109.47
_cell_angle_beta 109.47
_cell_angle_gamma 109.47
loop_
_atom_site_label
_atom_site_type_symbol
_atom_site_fract_x
_atom_site_fract_y
_atom_site_fract_z
_atom_site_occupancy
Ca1 Ca 0.897 0.316 0.506 1
Ca2 Ca 0.506 0.690 0.109 1
Ca3 Ca 0.310 0.816 0.419 1
Ca4 Ca 0.684 0.103 0.994 1
Ca5 Ca 0.190 0.109 0.006 1
Ca6 Ca 0.897 0.581 0.891 1
Ca7 Ca 0.103 0.684 0.494 1
Ca8 Ca 0.419 0.103 0.609 1
Ca9 Ca 0.494 0.310 0.891 1
Ca10 Ca 0.081 0.891 0.397 1
Ca11 Ca 0.690 0.506 0.609 1
Ca12 Ca 0.184 0.690 0.081 1
Ca13 Ca 0.609 0.603 0.419 1
Ca14 Ca 0.810 0.919 0.316 1
Ca15 Ca 0.316 0.419 0.810 1
Ca16 Ca 0.506 0.816 0.897 1
Ca17 Ca 0.081 0.190 0.184 1
Ca18 Ca 0.684 0.581 0.190 1
Ca19 Ca 0.419 0.316 0.310 1
Ca20 Ca 0.391 0.397 0.581 1
Ca21 Ca 0.690 0.184 0.581 1
Ca22 Ca 0.184 0.494 0.603 1
Ca23 Ca 0.994 0.603 0.684 1
Ca24 Ca 0.006 0.609 0.190 1
Ca25 Ca 0.310 0.494 0.391 1
Ca26 Ca 0.103 0.419 0.109 1
Ca27 Ca 0.816 0.506 0.397 1
Ca28 Ca 0.891 0.081 0.897 1
Ca29 Ca 0.810 0.891 0.994 1
Ca30 Ca 0.603 0.609 0.919 1
Ca31 Ca 0.109 0.190 0.506 1
Ca32 Ca 0.581 0.897 0.391 1
Ca33 Ca 0.581 0.684 0.690 1
Ca34 Ca 0.109 0.919 0.103 1
Ca35 Ca 0.891 0.810 0.494 1
Ca36 Ca 0.919 0.810 0.816 1
Ca37 Ca 0.316 0.897 0.006 1
Ca38 Ca 0.494 0.184 0.103 1
Ca39 Ca 0.397 0.006 0.816 1
Ca40 Ca 0.397 0.391 0.081 1
Ca41 Ca 0.994 0.391 0.810 1
Ca42 Ca 0.603 0.994 0.184 1
Ca43 Ca 0.391 0.994 0.310 1
Ca44 Ca 0.816 0.310 0.919 1
Ca45 Ca 0.006 0.397 0.316 1
Ca46 Ca 0.190 0.081 0.684 1
Ca47 Ca 0.609 0.006 0.690 1
Ca48 Ca 0.919 0.109 0.603 1
N1 N 0.375 0.125 0.750 1
N2 N 0.250 0.375 0.625 1
N3 N 0.500 0.500 0.500 1
N4 N 0.125 0.750 0.375 1
N5 N 0.250 0.875 0.125 1
N6 N 0.375 0.250 0.125 1
N7 N 0.875 0.625 0.750 1
N8 N 0.625 0.875 0.250 1
N9 N 0.500 0.000 0.000 1
N10 N 0.000 0.000 0.000 1
N11 N 0.000 0.500 0.500 1
N12 N 0.000 0.000 0.500 1
N13 N 0.500 0.500 0.000 1
N14 N 0.875 0.250 0.625 1
N15 N 0.000 0.500 0.000 1
N16 N 0.625 0.750 0.875 1
N17 N 0.750 0.125 0.875 1
N18 N 0.750 0.625 0.375 1
N19 N 0.500 0.000 0.500 1
N20 N 0.125 0.375 0.250 1
I1 I 0.375 0.750 0.625 1
I2 I 0.250 0.125 0.375 1
I3 I 0.250 0.625 0.875 1
I4 I 0.750 0.375 0.125 1
I5 I 0.375 0.625 0.250 1
I6 I 0.750 0.875 0.625 1
I7 I 0.125 0.875 0.750 1
I8 I 0.125 0.250 0.875 1
I9 I 0.875 0.125 0.250 1
I10 I 0.625 0.375 0.750 1
I11 I 0.625 0.250 0.375 1
I12 I 0.875 0.750 0.125 1
```

[5]
Compound: Ca2IN
Source: the Alexandria database
Functional: GGA-PBE
Structure: optimized geometry

## Properties
- DFT total energy (eV per atom) = -4.61
- SG = R3m, No. 160
- total magnetization (μB per atom) = 0.019

```
data_Ca2IN
_space_group_name_H-M_alt 'P 1'
_space_group_IT_number 1
_space_group_name_Hall 'P 1'
_cell_length_a 3.806
_cell_length_b 3.806
_cell_length_c 7.738
_cell_angle_alpha 75.76
_cell_angle_beta 75.76
_cell_angle_gamma 60.00
loop_
_atom_site_label
_atom_site_type_symbol
_atom_site_fract_x
_atom_site_fract_y
_atom_site_fract_z
_atom_site_occupancy
I1 I 0.499 0.499 0.504 1
Ca1 Ca 0.055 0.055 0.836 1
Ca2 Ca 0.279 0.279 0.162 1
N1 N 0.667 0.667 0.999 1
```

[6]
Compound: Ca2IN
Source: the Alexandria database
Functional: GGA-PBE
Structure: optimized geometry

## Properties
- DFT total energy (eV per atom) = -3.70
- SG = Fm-3m, No. 225
- total magnetization (μB per atom) = 0.000

```
data_Ca2IN
_space_group_name_H-M_alt 'P 1'
_space_group_IT_number 1
_space_group_name_Hall 'P 1'
_cell_length_a 5.018
_cell_length_b 5.018
_cell_length_c 5.018
_cell_angle_alpha 60.00
_cell_angle_beta 60.00
_cell_angle_gamma 60.00
loop_
_atom_site_label
_atom_site_type_symbol
_atom_site_fract_x
_atom_site_fract_y
_atom_site_fract_z
_atom_site_occupancy
Ca1 Ca 0.750 0.750 0.750 1
Ca2 Ca 0.250 0.250 0.250 1
I1 I 0.500 0.500 0.500 1
N1 N 0.000 0.000 0.000 1
```